Crystalline NiOsN2F at its relaxed geometry. Source: the Alexandria database, functional PBE+U.

POSCAR file:
```
NiOsN2F
1.0
3.807 0.000 0.000
0.000 3.807 0.000
0.000 0.000 4.187
Ni Os N F
1 1 2 1
Direct
0.000 0.000 0.000
0.500 0.500 0.500
0.000 0.500 0.500
0.500 0.000 0.500
0.500 0.500 0.000
```

Crystal system: tetragonal
Magnetization: 0.005 μB/cell
Space group: P4/mmm, No. 123
Final energy: -27.91 eV/cell